Compound: LiDyCoF6
Source: Alexandria via LeMat-Bulk
Functional: PBE with a Hubbard U
Structure: optimized geometry

Values from the calculation:
The final energy is -5.71 eV per atom. As for the space group: P4_2nm (102).

Geometry as POSCAR:
```
LiDyCoF6
1.0
4.9330 0.0000 0.0000
0.0000 4.9330 0.0000
0.0000 0.0000 9.7892
Li Dy Co F
2 2 2 12
direct
0.0000 0.0000 0.0000 Li
0.5000 0.5000 0.5000 Li
0.0000 0.0000 0.6630 Dy
0.5000 0.5000 0.1630 Dy
0.0000 0.0000 0.3296 Co
0.5000 0.5000 0.8296 Co
0.1865 0.1865 0.1649 F
0.1995 0.1995 0.4890 F
0.2065 0.2065 0.8324 F
0.2935 0.7065 0.3324 F
0.3005 0.6995 0.9890 F
0.3135 0.6865 0.6649 F
0.6865 0.3135 0.6649 F
0.6995 0.3005 0.9890 F
0.7065 0.2935 0.3324 F
0.7935 0.7935 0.8324 F
0.8005 0.8005 0.4890 F
0.8135 0.8135 0.1649 F
```